Entry 1:
The following is a DFT calculation (PBE) of a relaxed La4Tl5Hg crystal.

a b c (Å): 8.953 8.953 6.794
angles (deg): 103.37 103.37 35.49
Sites, in units of the cell vectors:
La1 0.091 0.091 0.329
La2 0.309 0.309 0.178
La3 0.691 0.691 0.822
La4 0.909 0.909 0.671
Tl1 0.101 0.101 0.853
Tl2 0.287 0.287 0.669
Tl3 0.500 0.500 0.000
Tl4 0.713 0.713 0.331
Tl5 0.899 0.899 0.147
Hg1 0.500 0.500 0.500

Properties
Total magnetization, μB/cell: 0.00
SG: No. 12
Formation energy from the elements, eV per formula unit: -3.94
Calculated volume, Å³/cell: 306.72
E, eV per cell: -35.8



Entry 2:
The following is a DFT calculation (PBE) of a relaxed La6TlHg crystal.

a b c (Å): 6.433 6.453 6.459
angles (deg): 92.58 92.71 92.75
Sites, in units of the cell vectors:
La1 0.022 0.047 0.248
La2 0.252 0.474 0.954
La3 0.456 0.751 0.472
La4 0.544 0.249 0.528
La5 0.748 0.526 0.046
La6 0.978 0.953 0.752
Tl1 0.500 0.000 0.000
Hg1 0.000 0.500 0.500

Properties
Total magnetization, μB/cell: 0.00
SG: No. 2
Polymorph energy (0 for the lowest one), eV per formula unit: 0.37
Formation energy from the elements, eV per formula unit: -1.41
Calculated volume, Å³/cell: 267.18
E, eV per cell: -33.6



Entry 3:
The following is a DFT calculation (PBE) of a relaxed La6TlHg2 crystal.

a b c (Å): 9.232 9.232 9.232
angles (deg): 111.79 111.60 105.11
Sites, in units of the cell vectors:
La1 0.047 0.824 0.223
La2 0.250 0.554 0.304
La3 0.250 0.946 0.696
La4 0.276 0.314 0.590
La5 0.276 0.686 0.961
La6 0.399 0.176 0.223
La7 0.601 0.824 0.777
La8 0.724 0.314 0.039
La9 0.724 0.686 0.410
La10 0.750 0.054 0.304
La11 0.750 0.446 0.696
La12 0.953 0.176 0.777
Tl1 0.000 0.500 0.500
Tl2 0.500 0.000 0.500
Hg1 0.000 0.149 0.149
Hg2 0.000 0.851 0.851
Hg3 0.367 0.367 0.000
Hg4 0.633 0.633 0.000

Properties
Total magnetization, μB/cell: 0.00
SG: No. 71
Polymorph energy (0 for the lowest one), eV per formula unit: 0.18
Formation energy from the elements, eV per formula unit: -2.45
Calculated volume, Å³/cell: 603.03
E, eV per cell: -70.0



Entry 4:
The following is a DFT calculation (PBE) of a relaxed LaTlHg3 crystal.

a b c (Å): 6.081 6.081 6.081
angles (deg): 90.00 90.00 90.00
Sites, in units of the cell vectors:
La1 0.000 0.000 0.000
Tl1 0.500 0.500 0.500
Hg1 0.000 0.000 0.500
Hg2 0.000 0.500 0.000
Hg3 0.500 0.000 0.000

Properties
Total magnetization, μB/cell: 0.00
SG: No. 221
Polymorph energy (0 for the lowest one), eV per formula unit: 1.59
Formation energy from the elements, eV per formula unit: 1.63
Calculated volume, Å³/cell: 224.91
E, eV per cell: -6.6



Entry 5:
The following is a DFT calculation (PBE) of a relaxed La5Tl2Hg crystal.

a b c (Å): 6.998 13.793 5.442
angles (deg): 90.00 90.00 90.00
Sites, in units of the cell vectors:
La1 0.000 0.000 0.000
La2 0.141 0.277 0.000
La3 0.149 0.603 0.500
La4 0.351 0.103 0.500
La5 0.359 0.777 0.000
La6 0.500 0.500 0.000
La7 0.641 0.223 0.000
La8 0.649 0.897 0.500
La9 0.851 0.397 0.500
La10 0.859 0.723 0.000
Tl1 0.122 0.853 0.500
Tl2 0.378 0.353 0.500
Tl3 0.622 0.647 0.500
Tl4 0.878 0.147 0.500
Hg1 0.000 0.500 0.000
Hg2 0.500 0.000 0.000

Properties
Total magnetization, μB/cell: 0.00
SG: No. 55
Formation energy from the elements, eV per formula unit: -2.73
Calculated volume, Å³/cell: 525.29
E, eV per cell: -64.8



Entry 6:
The following is a DFT calculation (PBE) of a relaxed La3Tl3Hg2 crystal.

a b c (Å): 8.507 8.507 3.874
angles (deg): 90.00 90.00 120.00
Sites, in units of the cell vectors:
La1 0.000 0.385 0.000
La2 0.385 0.000 0.000
La3 0.615 0.615 0.000
Tl1 0.000 0.760 0.500
Tl2 0.240 0.240 0.500
Tl3 0.760 0.000 0.500
Hg1 0.333 0.667 0.500
Hg2 0.667 0.333 0.500

Properties
Total magnetization, μB/cell: 0.00
SG: No. 189
Formation energy from the elements, eV per formula unit: -3.20
Calculated volume, Å³/cell: 242.80
E, eV per cell: -25.7



Entry 7:
The following is a DFT calculation (PBE) of a relaxed LaTlHg crystal.

a b c (Å): 5.215 4.329 8.299
angles (deg): 90.00 107.93 90.00
Sites, in units of the cell vectors:
La1 0.000 0.000 0.000
La2 0.309 0.000 0.607
Tl1 0.612 0.000 0.293
Tl2 0.839 0.500 0.652
Hg1 0.069 0.500 0.303
Hg2 0.479 0.500 0.940

Properties
Total magnetization, μB/cell: 0.00
SG: No. 6
Formation energy from the elements, eV per formula unit: -1.10
Calculated volume, Å³/cell: 178.25
E, eV per cell: -17.4



Entry 8:
The following is a DFT calculation (PBE) of a relaxed LaTl2Hg crystal.

a b c (Å): 11.966 11.966 11.966
angles (deg): 157.48 157.48 32.06
Sites, in units of the cell vectors:
La1 0.000 0.000 0.000
La2 0.750 0.250 0.500
Tl1 0.143 0.625 0.018
Tl2 0.375 0.393 0.518
Tl3 0.607 0.125 0.982
Tl4 0.875 0.857 0.482
Hg1 0.250 0.750 0.500
Hg2 0.500 0.500 0.000

Properties
Total magnetization, μB/cell: 0.00
SG: No. 122
Formation energy from the elements, eV per formula unit: -0.64
Calculated volume, Å³/cell: 251.18
E, eV per cell: -21.2



Entry 9:
The following is a DFT calculation (PBE) of a relaxed La4TlHg3 crystal.

a b c (Å): 8.829 8.829 5.539
angles (deg): 108.21 108.21 36.56
Sites, in units of the cell vectors:
La1 0.127 0.127 0.126
La2 0.373 0.373 0.373
La3 0.627 0.627 0.627
La4 0.873 0.873 0.874
Tl1 0.000 0.000 0.500
Hg1 0.250 0.250 0.750
Hg2 0.500 0.500 0.000
Hg3 0.750 0.750 0.250

Properties
Total magnetization, μB/cell: 1.84
SG: No. 12
Formation energy from the elements, eV per formula unit: -3.83
Calculated volume, Å³/cell: 242.88
E, eV per cell: -26.8



Entry 10:
The following is a DFT calculation (PBE) of a relaxed LaTl2Hg crystal.

a b c (Å): 3.952 3.952 7.509
angles (deg): 90.00 90.00 90.00
Sites, in units of the cell vectors:
La1 0.000 0.000 0.000
Tl1 0.000 0.000 0.520
Tl2 0.500 0.500 0.271
Hg1 0.500 0.500 0.756

Properties
Total magnetization, μB/cell: 0.29
SG: No. 99
Formation energy from the elements, eV per formula unit: -1.03
Calculated volume, Å³/cell: 117.27
E, eV per cell: -11.0



Entry 11:
The following is a DFT calculation (PBE) of a relaxed LaTlHg2 crystal.

a b c (Å): 3.864 3.864 7.452
angles (deg): 90.00 90.00 90.00
Sites, in units of the cell vectors:
La1 0.000 0.000 0.000
Tl1 0.500 0.500 0.283
Hg1 0.000 0.000 0.521
Hg2 0.500 0.500 0.743

Properties
Total magnetization, μB/cell: 0.06
SG: No. 99
Polymorph energy (0 for the lowest one), eV per formula unit: 0.68
Formation energy from the elements, eV per formula unit: -0.95
Calculated volume, Å³/cell: 111.24
E, eV per cell: -8.8



Entry 12:
The following is a DFT calculation (PBE) of a relaxed LaTl2Hg2 crystal.

a b c (Å): 16.927 16.927 16.927
angles (deg): 168.04 162.72 21.07
Sites, in units of the cell vectors:
La1 0.316 0.066 0.250
La2 0.684 0.934 0.750
Tl1 0.044 0.794 0.250
Tl2 0.415 0.665 0.750
Tl3 0.585 0.335 0.250
Tl4 0.956 0.206 0.750
Hg1 0.138 0.388 0.750
Hg2 0.228 0.478 0.750
Hg3 0.772 0.522 0.250
Hg4 0.862 0.612 0.250

Properties
Total magnetization, μB/cell: 0.00
SG: No. 74
Polymorph energy (0 for the lowest one), eV per formula unit: 0.00
Formation energy from the elements, eV per formula unit: -1.14
Calculated volume, Å³/cell: 298.51
E, eV per cell: -22.8



Entry 13:
The following is a DFT calculation (PBE) of a relaxed LaTlHg crystal.

a b c (Å): 4.784 7.891 7.891
angles (deg): 35.85 90.00 90.00
Sites, in units of the cell vectors:
La1 0.000 0.000 0.000
La2 0.000 0.313 0.313
Tl1 0.500 0.156 0.156
Tl2 0.500 0.825 0.825
Hg1 0.000 0.653 0.653
Hg2 0.500 0.480 0.480

Properties
Total magnetization, μB/cell: 0.00
SG: No. 38
Formation energy from the elements, eV per formula unit: -1.07
Calculated volume, Å³/cell: 174.47
E, eV per cell: -17.3



Entry 14:
The following is a DFT calculation (PBE) of a relaxed LaTlHg2 crystal.

a b c (Å): 4.925 4.925 4.585
angles (deg): 90.00 90.00 90.11
Sites, in units of the cell vectors:
La1 0.000 0.000 0.000
Tl1 0.500 0.500 0.000
Hg1 0.000 0.500 0.500
Hg2 0.500 0.000 0.500

Properties
Total magnetization, μB/cell: 0.00
SG: No. 65
Polymorph energy (0 for the lowest one), eV per formula unit: 0.18
Formation energy from the elements, eV per formula unit: -1.46
Calculated volume, Å³/cell: 111.24
E, eV per cell: -9.4



Entry 15:
The following is a DFT calculation (PBE) of a relaxed LaTlHg crystal.

a b c (Å): 6.690 6.690 6.690
angles (deg): 147.53 147.53 46.58
Sites, in units of the cell vectors:
La1 0.000 0.000 0.000
Tl1 0.682 0.682 0.000
Hg1 0.336 0.336 0.000

Properties
Total magnetization, μB/cell: 0.01
SG: No. 107
Formation energy from the elements, eV per formula unit: -0.98
Calculated volume, Å³/cell: 85.99
E, eV per cell: -8.6



Entry 16:
The following is a DFT calculation (PBE) of a relaxed LaTlHg3 crystal.

a b c (Å): 5.520 5.520 5.520
angles (deg): 90.00 90.00 90.00
Sites, in units of the cell vectors:
La1 0.000 0.000 0.000
Tl1 0.500 0.500 0.500
Hg1 0.000 0.500 0.500
Hg2 0.500 0.000 0.500
Hg3 0.500 0.500 0.000

Properties
Total magnetization, μB/cell: 0.00
SG: No. 221
Polymorph energy (0 for the lowest one), eV per formula unit: 1.09
Formation energy from the elements, eV per formula unit: 1.13
Calculated volume, Å³/cell: 168.16
E, eV per cell: -7.1



Entry 17:
The following is a DFT calculation (PBE) of a relaxed La2Tl3Hg crystal.

a b c (Å): 10.433 9.755 6.422
angles (deg): 77.30 65.80 36.90
Sites, in units of the cell vectors:
La1 0.248 0.752 0.752
La2 0.250 0.250 0.250
La3 0.750 0.750 0.750
La4 0.752 0.248 0.248
Tl1 0.163 0.668 0.332
Tl2 0.331 0.331 0.669
Tl3 0.332 0.837 0.163
Tl4 0.668 0.163 0.837
Tl5 0.669 0.669 0.331
Tl6 0.837 0.332 0.668
Hg1 0.167 0.167 0.833
Hg2 0.833 0.833 0.167

Properties
Total magnetization, μB/cell: 0.00
SG: No. 69
Formation energy from the elements, eV per formula unit: -2.05
Calculated volume, Å³/cell: 350.94
E, eV per cell: -38.6



Entry 18:
The following is a DFT calculation (PBE) of a relaxed La11Tl9Hg4 crystal.

a b c (Å): 14.198 14.198 3.966
angles (deg): 90.00 90.00 112.63
Sites, in units of the cell vectors:
La1 0.000 0.000 0.000
La2 0.060 0.412 0.000
La3 0.164 0.836 0.000
La4 0.284 0.284 0.000
La5 0.361 0.639 0.000
La6 0.412 0.060 0.000
La7 0.588 0.940 0.000
La8 0.639 0.361 0.000
La9 0.716 0.716 0.000
La10 0.836 0.164 0.000
La11 0.940 0.588 0.000
Tl1 0.060 0.212 0.500
Tl2 0.154 0.632 0.500
Tl3 0.212 0.060 0.500
Tl4 0.368 0.846 0.500
Tl5 0.500 0.500 0.500
Tl6 0.632 0.154 0.500
Tl7 0.788 0.940 0.500
Tl8 0.846 0.368 0.500
Tl9 0.940 0.788 0.500
Hg1 0.251 0.448 0.500
Hg2 0.448 0.251 0.500
Hg3 0.552 0.749 0.500
Hg4 0.749 0.552 0.500

Properties
Total magnetization, μB/cell: 0.00
SG: No. 65
Formation energy from the elements, eV per formula unit: -10.29
Calculated volume, Å³/cell: 737.94
E, eV per cell: -87.0



Entry 19:
The following is a DFT calculation (PBE) of a relaxed LaTlHg2 crystal.

a b c (Å): 5.362 5.362 5.362
angles (deg): 60.00 60.00 60.00
Sites, in units of the cell vectors:
La1 0.000 0.000 0.000
Tl1 0.500 0.500 0.500
Hg1 0.250 0.250 0.250
Hg2 0.750 0.750 0.750

Properties
Total magnetization, μB/cell: 0.00
SG: No. 225
Polymorph energy (0 for the lowest one), eV per formula unit: 0.00
Formation energy from the elements, eV per formula unit: -1.63
Calculated volume, Å³/cell: 109.03
E, eV per cell: -9.5



Entry 20:
The following is a DFT calculation (PBE) of a relaxed LaTlHg crystal.

a b c (Å): 8.863 8.863 8.863
angles (deg): 32.89 32.89 32.89
Sites, in units of the cell vectors:
La1 0.000 0.000 0.000
La2 0.149 0.149 0.149
Tl1 0.279 0.279 0.279
Tl2 0.561 0.561 0.561
Hg1 0.411 0.411 0.411
Hg2 0.741 0.741 0.741

Properties
Total magnetization, μB/cell: 0.00
SG: No. 160
Formation energy from the elements, eV per formula unit: -1.07
Calculated volume, Å³/cell: 182.70
E, eV per cell: -17.3